[1]
Crystalline KRbTlHg at its relaxed geometry, computed with PBE.

Cell lengths 5.4062, 5.4062, 7.7233 Å; angles 110.64, 110.64, 60.11 degrees
With the nearest neighbours (Å) after each atom.
Element x y z (fractional)
K (0.0000, 0.0000, 0.0000)  3 Hg 3.64-3.66, 3 Tl 3.67
Rb (0.1985, 0.1985, 0.5921)  3 Tl 3.84-3.85, 3 Hg 3.86-3.87, 4 K 4.18-4.26
Tl (0.7585, 0.7585, 0.2733)  3 Hg 3.12-3.13
Hg (0.4230, 0.4230, 0.2686)  3 Tl 3.12-3.13

Computed properties:
For the energy relative to the elements, the calculation gives -0.14 eV/atom. The magnetic moment comes out at 0.000 μB per formula unit. The symmetry is Cm. The value obtained for the total energy is -5.28 eV per formula unit.


[2]
Crystalline KRbTlHg at its relaxed geometry, computed with PBE.

Cell lengths 5.9809, 5.9809, 5.9809 Å; angles 60.00, 60.00, 60.00 degrees
With the nearest neighbours (Å) after each atom.
Element x y z (fractional)
K (0.0000, 0.0000, 0.0000)  4 Tl 3.66, 4 Rb 3.66
Rb (0.2500, 0.2500, 0.2500)  4 Hg 3.66, 4 K 3.66
Tl (0.7500, 0.7500, 0.7500)  4 Hg 3.66, 4 K 3.66
Hg (0.5000, 0.5000, 0.5000)  4 Tl 3.66, 4 Rb 3.66

Computed properties:
For the energy relative to the elements, the calculation gives -0.06 eV/atom. The magnetic moment comes out at 0.002 μB per formula unit. The symmetry is F-43m. The value obtained for the total energy is -4.97 eV per formula unit.


[3]
Crystalline KRbTl2Hg at its relaxed geometry, computed with PBE.

Cell lengths 6.4295, 6.4295, 7.3372 Å; angles 90.00, 90.00, 90.00 degrees
With the nearest neighbours (Å) after each atom.
Element x y z (fractional)
K (0.0000, 0.0000, 0.0000)  4 Tl 3.21
Rb (0.0000, 0.0000, 0.5000)  2 K 3.67
Tl (0.0000, 0.5000, 0.0000)  2 K 3.21
Tl (0.5000, 0.0000, 0.0000)  2 K 3.21
Hg (0.5000, 0.5000, 0.5000)  4 Rb 4.55, 8 Tl 4.88

Computed properties:
For the energy relative to the elements, the calculation gives 0.43 eV/atom. The magnetic moment comes out at 0.000 μB per formula unit. The symmetry is P4/mmm. The value obtained for the total energy is -4.95 eV per formula unit.


[4]
Crystalline K5RbTlHg2 at its relaxed geometry, computed with PBE.

Cell lengths 6.6508, 6.6508, 12.5865 Å; angles 90.00, 90.00, 90.00 degrees
With the nearest neighbours (Å) after each atom.
Element x y z (fractional)
K (0.0000, 0.0000, 0.0000)  2 Hg 3.30
K (0.0000, 0.5000, 0.3317)  2 Hg 3.44
K (0.0000, 0.5000, 0.6683)  2 Hg 3.44
K (0.5000, 0.0000, 0.3317)  2 Hg 3.44
K (0.5000, 0.0000, 0.6683)  2 Hg 3.44
Rb (0.5000, 0.5000, 0.0000)  4 K 4.70
Tl (0.0000, 0.0000, 0.5000)  2 Hg 2.99
Hg (0.0000, 0.0000, 0.2623)  1 Tl 2.99, 1 K 3.30
Hg (0.0000, 0.0000, 0.7377)  1 Tl 2.99, 1 K 3.30

Computed properties:
For the energy relative to the elements, the calculation gives -0.06 eV/atom. The magnetic moment comes out at 0.000 μB per formula unit. The symmetry is P4/mmm. The value obtained for the total energy is -10.00 eV per formula unit.


[5]
Crystalline KRb2TlHg at its relaxed geometry, computed with PBE.

Cell lengths 7.0899, 7.0899, 5.8340 Å; angles 90.00, 90.00, 90.00 degrees
With the nearest neighbours (Å) after each atom.
Element x y z (fractional)
K (0.0000, 0.0000, 0.0000)  8 Rb 4.59, 4 Tl 5.01
Rb (0.0000, 0.5000, 0.5000)  2 Hg 3.54
Rb (0.5000, 0.0000, 0.5000)  2 Hg 3.54
Tl (0.5000, 0.5000, 0.0000)  2 Hg 2.92
Hg (0.5000, 0.5000, 0.5000)  2 Tl 2.92

Computed properties:
For the energy relative to the elements, the calculation gives -0.02 eV/atom. The magnetic moment comes out at 0.000 μB per formula unit. The symmetry is P4/mmm. The value obtained for the total energy is -5.82 eV per formula unit.


[6]
Crystalline KRbTlHg2 at its relaxed geometry, computed with PBE.

Cell lengths 5.9355, 5.9355, 6.5784 Å; angles 90.00, 90.00, 90.00 degrees
With the nearest neighbours (Å) after each atom.
Element x y z (fractional)
K (0.0000, 0.0000, 0.0000)  2 Tl 3.29
Rb (0.5000, 0.5000, 0.0000)  4 K 4.20, 8 Hg 4.43
Tl (0.0000, 0.0000, 0.5000)  4 Hg 2.97, 2 K 3.29
Hg (0.0000, 0.5000, 0.5000)  2 Tl 2.97
Hg (0.5000, 0.0000, 0.5000)  2 Tl 2.97

Computed properties:
For the energy relative to the elements, the calculation gives -0.02 eV/atom. The magnetic moment comes out at 0.000 μB per formula unit. The symmetry is P4/mmm. The value obtained for the total energy is -5.15 eV per formula unit.


[7]
Crystalline KRbTl2Hg at its relaxed geometry, computed with PBE.

Cell lengths 5.9643, 5.9643, 6.4348 Å; angles 90.00, 90.00, 90.00 degrees
With the nearest neighbours (Å) after each atom.
Element x y z (fractional)
K (0.0000, 0.0000, 0.0000)  2 Hg 3.22
Rb (0.5000, 0.5000, 0.0000)  4 K 4.22, 8 Tl 4.39
Tl (0.0000, 0.5000, 0.5000)  2 Hg 2.98
Tl (0.5000, 0.0000, 0.5000)  2 Hg 2.98
Hg (0.0000, 0.0000, 0.5000)  4 Tl 2.98, 2 K 3.22

Computed properties:
For the energy relative to the elements, the calculation gives 0.04 eV/atom. The magnetic moment comes out at 0.000 μB per formula unit. The symmetry is P4/mmm. The value obtained for the total energy is -6.90 eV per formula unit.


[8]
Crystalline KRbTl2Hg at its relaxed geometry, computed with PBE.

Cell lengths 8.1937, 8.1937, 8.1937 Å; angles 143.28, 141.23, 54.46 degrees
With the nearest neighbours (Å) after each atom.
Element x y z (fractional)
K (0.0000, 0.0000, 0.0000)  2 Hg 3.35, 2 Tl 3.45
Rb (0.7407, 0.2407, 0.5000)  4 Hg 3.99, 6 Tl 4.10-4.42, 2 K 4.44
Tl (0.3540, 0.8540, 0.5000)  1 Hg 3.03, 2 Tl 3.30
Tl (0.4949, 0.4949, 0.0000)  2 Tl 3.30, 2 Hg 3.50
Hg (0.1464, 0.6464, 0.5000)  1 Tl 3.03, 2 K 3.35

Computed properties:
For the energy relative to the elements, the calculation gives -0.09 eV/atom. The magnetic moment comes out at 0.000 μB per formula unit. The symmetry is Imm2. The value obtained for the total energy is -7.56 eV per formula unit.


Question: magnetic moment of number 8 (KRbTl2Hg)?
Answer: 0.000 μB per formula unit


Question: Look up the energy relative to the elements of the third one.
Answer: 0.43 eV/atom


Question: Among the records above, which one has the lowest energy relative to the elements?
Answer: number 1